The following is a GGA-PBE calculation of a geometry-optimized KZnRu2 structure, from Alexandria.

- calculated volume (Å³ per cell) = 70.7
- ΔH_f (0 K) (eV per atom) = 1.187
- calculated total energy (eV per formula unit) = -16.17

Cell: 3.8835 3.8835 4.6893 Å, 90.00 90.00 90.00°
Space group P4/mmm (No. 123)
Asymmetric unit:
K (0.0000, 0.0000, 0.0000) x1
Zn (0.5000, 0.5000, 0.0000) x1
Ru (0.0000, 0.5000, 0.5000) x2

The following is a GGA-PBE calculation of a geometry-optimized CaCeCu2 structure, from Alexandria.

- calculated volume (Å³ per cell) = 354.7
- ΔH_f (0 K) (eV per atom) = -0.046
- calculated total energy (eV per formula unit) = -16.31

Cell: 7.0785 7.0785 7.0785 Å, 90.00 90.00 90.00°
Space group Fm-3m (No. 225)
Asymmetric unit:
Ca (0.0000, 0.0000, 0.0000) x4
Ce (0.0000, 0.0000, 0.5000) x4
Cu (0.2500, 0.2500, 0.2500) x8

The following is a GGA-PBE calculation of a geometry-optimized In2SBr3 structure, from Alexandria.

- formation energy (no corrections) (meV/atom) = -631
- calculated volume (Å³ per cell) = 385.7
- calculated total energy (eV per formula unit) = -18.41

Cell: 7.9900 7.9900 6.9764 Å, 90.00 90.00 120.00°
Space group P-3m1 (No. 164)
Asymmetric unit:
In (0.0000, 0.0000, 0.0000) x1
In (0.0000, 0.5000, 0.0000) x3
S (0.3333, 0.6667, 0.8226) x2
Br (0.1803, 0.3605, 0.2568) x6

The following is a GGA-PBE calculation of a geometry-optimized Rb2PrAgCl6 structure, from Alexandria.

- formation energy (no corrections) (meV/atom) = -1805
- calculated volume (Å³ per cell) = 638.4
- calculated total energy (eV per formula unit) = -38.70

Cell: 7.6063 7.8849 13.0253 Å, 90.00 125.20 90.00°
Space group P2_1/c (No. 14)
Asymmetric unit:
Rb (0.2324, 0.0607, 0.2491) x4
Pr (0.5000, 0.0000, 0.0000) x2
Ag (0.0000, 0.0000, 0.5000) x2
Cl (0.1647, 0.2001, 0.9571) x4
Cl (0.2594, 0.7112, 0.9579) x4
Cl (0.3300, 0.0203, 0.7466) x4

The following is a GGA-PBE calculation of a geometry-optimized AlAsRu4 structure, from Alexandria.

- calculated volume (Å³ per cell) = 379.7
- ΔH_f (0 K) (eV per atom) = 0.436
- calculated total energy (eV per formula unit) = -42.88

Cell: 7.2415 7.2415 7.2415 Å, 90.00 90.00 90.00°
Space group F-43m (No. 216)
Asymmetric unit:
Al (0.0000, 0.0000, 0.0000) x4
As (0.2500, 0.2500, 0.2500) x4
Ru (0.1248, 0.1248, 0.6248) x16

The following is a GGA-PBE calculation of a geometry-optimized Pm6CoHg3 structure, from Alexandria.

- calculated volume (Å³ per cell) = 1698.4
- ΔH_f (0 K) (eV per atom) = -0.227
- calculated total energy (eV per formula unit) = -38.79

Cell: 10.9665 10.9665 16.3067 Å, 90.00 90.00 120.00°
Space group R-3 (No. 148, hexagonal axes)
Asymmetric unit:
Pm (0.1073, 0.2140, 0.3955) x18
Pm (0.1068, 0.5527, 0.7646) x18
Co (0.0000, 0.0000, 0.0000) x3
Co (0.0000, 0.0000, 0.5000) x3
Hg (0.0783, 0.5394, 0.4138) x18

The following is a GGA-PBE calculation of a geometry-optimized Eu3Tl5S12 structure, from Alexandria.

- formation energy (no corrections) (meV/atom) = -618
- calculated volume (Å³ per cell) = 4243.5
- calculated total energy (eV per formula unit) = -104.54

Cell: 16.1898 16.1898 16.1898 Å, 90.00 90.00 90.00°
Space group Ia-3d (No. 230)
Asymmetric unit:
Eu (0.0000, 0.2500, 0.1250) x24
Tl (0.0000, 0.0000, 0.0000) x16
Tl (0.0000, 0.2500, 0.3750) x24
S (0.0198, 0.0661, 0.6529) x96

The following is a GGA-PBE calculation of a geometry-optimized LaPaZnO6 structure, from Alexandria.

- formation energy (no corrections) (meV/atom) = -2376
- calculated volume (Å³ per cell) = 131.5
- calculated total energy (eV per formula unit) = -66.83

Cell: 5.5423 5.5423 4.9434 Å, 90.00 90.00 120.00°
Space group P312 (No. 149)
Asymmetric unit:
La (0.0000, 0.0000, 0.0000) x1
Pa (0.6667, 0.3333, 0.5000) x1
Zn (0.3333, 0.6667, 0.0000) x1
O (0.0003, 0.3715, 0.2458) x6

The following is a GGA-PBE calculation of a geometry-optimized Pm2Sm3Dy6Er structure, from Alexandria.

- calculated volume (Å³ per cell) = 776.0
- ΔH_f (0 K) (eV per atom) = 0.014
- calculated total energy (eV per formula unit) = -55.66

Cell: 6.2013 10.7352 11.8365 Å, 90.00 100.02 90.00°
Space group C2/m (No. 12)
Asymmetric unit:
Pm (0.0000, 0.1664, 0.0000) x4
Sm (0.0000, 0.0000, 0.5000) x2
Sm (0.0000, 0.3334, 0.5000) x4
Dy (0.2489, 0.5000, 0.7503) x4
Dy (0.2501, 0.1663, 0.7507) x8
Er (0.0000, 0.5000, 0.0000) x2

The following is a GGA-PBE calculation of a geometry-optimized MgZrOs structure, from Alexandria.

- calculated volume (Å³ per cell) = 225.6
- ΔH_f (0 K) (eV per atom) = 0.128
- calculated total energy (eV per formula unit) = -20.99

Cell: 3.3511 4.8456 13.8934 Å, 90.00 90.00 90.00°
Space group Fmm2 (No. 42)
Asymmetric unit:
Mg (0.0000, 0.0000, 0.0000) x4
Zr (0.0000, 0.0000, 0.6960) x4
Os (0.0000, 0.0000, 0.3443) x4

The following is a GGA-PBE calculation of a geometry-optimized Hf2TaCd structure, from Alexandria.

- calculated volume (Å³ per cell) = 256.0
- ΔH_f (0 K) (eV per atom) = 0.119
- calculated total energy (eV per formula unit) = -32.20

Cell: 3.1323 3.1323 30.1267 Å, 90.00 90.00 120.00°
Space group R3m (No. 160, hexagonal axes)
Asymmetric unit:
Hf (0.0000, 0.0000, 0.0000) x3
Hf (0.0000, 0.0000, 0.1742) x3
Ta (0.0000, 0.0000, 0.5875) x3
Cd (0.0000, 0.0000, 0.4205) x3

The following is a GGA-PBE calculation of a geometry-optimized TiNb2OsRh structure, from Alexandria.

- calculated volume (Å³ per cell) = 95.2
- ΔH_f (0 K) (eV per atom) = 1.287
- calculated total energy (eV per formula unit) = -40.18

Cell: 4.6228 4.6228 4.4564 Å, 90.00 90.00 90.00°
Space group P4/mmm (No. 123)
Asymmetric unit:
Ti (0.0000, 0.0000, 0.0000) x1
Nb (0.0000, 0.5000, 0.0000) x2
Os (0.0000, 0.0000, 0.5000) x1
Rh (0.5000, 0.5000, 0.5000) x1

The following is a GGA-PBE calculation of a geometry-optimized K2ZrW structure, from Alexandria.

- calculated volume (Å³ per cell) = 109.3
- ΔH_f (0 K) (eV per atom) = 1.445
- calculated total energy (eV per formula unit) = -17.92

Cell: 4.0961 4.0961 6.5166 Å, 90.00 90.00 90.00°
Space group P4/mmm (No. 123)
Asymmetric unit:
K (0.0000, 0.5000, 0.0000) x2
Zr (0.0000, 0.0000, 0.5000) x1
W (0.5000, 0.5000, 0.5000) x1

The following is a GGA-PBE calculation of a geometry-optimized Ca4AcGa2 structure, from Alexandria.

- calculated volume (Å³ per cell) = 468.3
- ΔH_f (0 K) (eV per atom) = -0.257
- calculated total energy (eV per formula unit) = -19.97

Cell: 10.8767 10.8767 3.9588 Å, 90.00 90.00 90.00°
Space group P4_2/mnm (No. 136)
Asymmetric unit:
Ca (0.0901, 0.3161, 0.0000) x8
Ac (0.0000, 0.0000, 0.5000) x2
Ga (0.1756, 0.8244, 0.0000) x4

The following is a GGA-PBE calculation of a geometry-optimized YEr8Tm4 structure, from Alexandria.

- calculated volume (Å³ per cell) = 1205.2
- ΔH_f (0 K) (eV per atom) = 0.236
- calculated total energy (eV per formula unit) = -57.78

Cell: 7.1905 7.1905 26.9168 Å, 90.00 90.00 120.00°
Space group R-3m (No. 166, hexagonal axes)
Asymmetric unit:
Y (0.0000, 0.0000, 0.0000) x3
Er (0.0000, 0.0000, 0.2834) x6
Er (0.0364, 0.5182, 0.2672) x18
Tm (0.0000, 0.0000, 0.5000) x3
Tm (0.0000, 0.5000, 0.5000) x9

The following is a GGA-PBE calculation of a geometry-optimized PrCu4Au structure, from Alexandria.

- calculated volume (Å³ per cell) = 383.9
- ΔH_f (0 K) (eV per atom) = -0.263
- calculated total energy (eV per formula unit) = -26.02

Cell: 7.2678 7.2678 7.2678 Å, 90.00 90.00 90.00°
Space group F-43m (No. 216)
Asymmetric unit:
Pr (0.0000, 0.0000, 0.0000) x4
Cu (0.1233, 0.1233, 0.6233) x16
Au (0.2500, 0.2500, 0.2500) x4

The following is a GGA-PBE calculation of a geometry-optimized Ta2SnPb structure, from Alexandria.

- calculated volume (Å³ per cell) = 328.0
- ΔH_f (0 K) (eV per atom) = 0.567
- calculated total energy (eV per formula unit) = -29.15

Cell: 6.8965 6.8965 6.8965 Å, 90.00 90.00 90.00°
Space group Fm-3m (No. 225)
Asymmetric unit:
Ta (0.2500, 0.2500, 0.2500) x8
Sn (0.0000, 0.0000, 0.0000) x4
Pb (0.0000, 0.0000, 0.5000) x4

The following is a GGA-PBE calculation of a geometry-optimized Pt3RhF structure, from Alexandria.

- formation energy (no corrections) (meV/atom) = 1317
- calculated volume (Å³ per cell) = 111.2
- calculated total energy (eV per formula unit) = -20.76

Cell: 4.8089 4.8089 4.8089 Å, 90.00 90.00 90.00°
Space group Pm-3m (No. 221)
Asymmetric unit:
Pt (0.0000, 0.0000, 0.5000) x3
Rh (0.0000, 0.0000, 0.0000) x1
F (0.5000, 0.5000, 0.5000) x1

The following is a GGA-PBE calculation of a geometry-optimized Nd3Sm6Sc structure, from Alexandria.

- calculated volume (Å³ per cell) = 1345.5
- ΔH_f (0 K) (eV per atom) = 0.141
- calculated total energy (eV per formula unit) = -47.54

Cell: 10.9797 19.1595 6.3958 Å, 90.00 90.00 90.00°
Space group Cmc2_1 (No. 36)
Asymmetric unit:
Nd (0.0000, 0.1159, 0.0000) x4
Nd (0.1696, 0.3845, 0.3815) x8
Sm (0.0000, 0.2237, 0.5678) x4
Sm (0.0000, 0.4588, 0.8101) x4
Sm (0.1677, 0.0431, 0.4804) x8
Sm (0.2403, 0.2092, 0.2925) x8
Sc (0.0000, 0.3026, 0.0437) x4

The following is a GGA-PBE calculation of a geometry-optimized Rb3UTe4 structure, from Alexandria.

- formation energy (no corrections) (meV/atom) = -640
- calculated volume (Å³ per cell) = 820.4
- calculated total energy (eV per formula unit) = -31.88

Cell: 8.4786 12.8912 7.5060 Å, 90.00 90.00 90.00°
Space group Imm2 (No. 44)
Asymmetric unit:
Rb (0.0000, 0.0000, 0.0000) x2
Rb (0.0000, 0.2755, 0.3280) x4
U (0.0000, 0.5000, 0.8896) x2
Te (0.0000, 0.2802, 0.8141) x4
Te (0.2432, 0.0000, 0.6261) x4